No. 1
This record from the Alexandria database describes crystalline TaPbSe2 at its relaxed geometry. The functional is PBE.

Values from the calculation:
DOS(E_F)	0.51	states/eV/atom

Unit cell a=9.822 b=9.822 c=9.822 alpha=20.36 beta=20.36 gamma=20.36
Fractional coordinates of all 4 atoms:
Pb  0.000  0.000  0.000
Se  0.892  0.892  0.892
Se  0.108  0.108  0.108
Ta  0.500  0.500  0.500

No. 2
This record from the Alexandria database describes crystalline TaPbSe2 at its relaxed geometry. The functional is PBE.

Values from the calculation:
DOS(E_F)	0.98	states/eV/atom

Unit cell a=5.843 b=5.843 c=5.843 alpha=138.32 beta=138.32 gamma=60.41
Site moments in Bohr magnetons follow the coordinates.
Fractional coordinates of all 4 atoms:
Pb  0.750  0.250  0.500  0.00
Se  0.000  0.000  0.000  0.00
Se  0.250  0.750  0.500  -0.01
Ta  0.500  0.500  0.000  0.20

No. 3
This record from the Alexandria database describes crystalline TaPbSe2 at its relaxed geometry. The functional is PBE.

Values from the calculation:
DOS(E_F)	0.60	states/eV/atom

Unit cell a=9.272 b=9.272 c=9.272 alpha=23.40 beta=23.40 gamma=23.40
Site moments in Bohr magnetons follow the coordinates.
Fractional coordinates of all 4 atoms:
Pb  0.500  0.500  0.500  0.01
Se  0.910  0.910  0.910  -0.01
Se  0.090  0.090  0.090  -0.01
Ta  0.000  0.000  0.000  0.45

No. 4
This record from the Alexandria database describes crystalline Ta3PbSe at its relaxed geometry. The functional is PBE.

Values from the calculation:
DOS(E_F)	1.91	states/eV/atom
excess energy over the best structure of this formula in the dataset	1540	meV/atom

Unit cell a=5.154 b=5.154 c=5.154 alpha=90.00 beta=90.00 gamma=90.00
Site moments in Bohr magnetons follow the coordinates.
Fractional coordinates of all 5 atoms:
Pb  0.000  0.000  0.000  0.05
Se  0.500  0.500  0.500  0.01
Ta  0.000  0.500  0.000  0.37
Ta  0.000  0.000  0.500  0.47
Ta  0.500  0.000  0.000  0.24

| no. | ρ (g/cm³) | raw formation energy (eV/f.u.) |
| --- | --- | --- |
| 1 | 9.03 | -2.314 |
| 2 | 10.39 | 1.878 |
| 3 | 8.21 | 1.389 |
| 4 | 10.06 | 12.419 |